A plane-wave DFT calculation with PBE was carried out for an optimized crystal structure of K2LaPt.

The structure belongs to space group I-4m2 (No. 119); the cell edges are 5.524, 5.524 and 7.834 Å and the angles 90.00°, 90.00° and 90.00°. Symmetry generates all atoms from K at (0.000, 0.000, 0.000), K at (0.000, 0.500, 0.250), La at (0.000, 0.500, 0.750) and Pt at (0.000, 0.000, 0.500).

The calculation puts the distance to the lowest polymorph of the same formula at 0.537 eV/atom. The formation energy is 156 meV/atom. The value obtained for the total magnetic moment is 0.02 μB per formula unit.


A plane-wave DFT calculation with PBE was carried out for an optimized crystal structure of MnZn2Ru.

The structure belongs to space group P4mm (No. 99); the cell edges are 2.809, 2.809 and 6.779 Å and the angles 90.00°, 90.00° and 90.00°. Symmetry generates all atoms from Mn at (0.000, 0.000, 0.000), Zn at (0.000, 0.000, 0.483), Zn at (0.500, 0.500, 0.754) and Ru at (0.500, 0.500, 0.216).

The calculation puts the distance to the lowest polymorph of the same formula at 0.036 eV/atom. The formation energy is -11 meV/atom. The value obtained for the total magnetic moment is 0.66 μB per formula unit.


A plane-wave DFT calculation with PBE was carried out for an optimized crystal structure of AcSm2Hg.

The structure belongs to space group Fm-3m (No. 225); the cell edges are 7.985, 7.985 and 7.985 Å and the angles 90.00°, 90.00° and 90.00°. Symmetry generates all atoms from Ac at (0.000, 0.000, 0.000), Sm at (0.250, 0.250, 0.250) and Hg at (0.000, 0.000, 0.500).

The calculation puts the distance to the lowest polymorph of the same formula at 0.228 eV/atom. The formation energy is 10 meV/atom. The value obtained for the total magnetic moment is 0.00 μB per formula unit.


A plane-wave DFT calculation with PBE was carried out for an optimized crystal structure of HgAu4S2.

The structure belongs to space group P4_2/mbc (No. 135); the cell edges are 10.408, 10.408 and 6.967 Å and the angles 90.00°, 90.00° and 90.00°. Symmetry generates all atoms from Hg at (0.000, 0.500, 0.250), Au at (0.015, 0.272, 0.000), Au at (0.230, 0.270, 0.250) and S at (0.130, 0.158, 0.500).

The value obtained for the total magnetic moment is 0.00 μB per formula unit. Its total DFT energy (no corrections) is -3.054 eV/atom.


A plane-wave DFT calculation with PBE was carried out for an optimized crystal structure of NaZn2Cu2.

The structure belongs to space group P4/mbm (No. 127); the cell edges are 7.562, 7.562 and 2.679 Å and the angles 90.00°, 90.00° and 90.00°. Symmetry generates all atoms from Na at (0.000, 0.000, 0.000), Zn at (0.124, 0.376, 0.000) and Cu at (0.172, 0.672, 0.500).

The calculation puts the distance to the lowest polymorph of the same formula at 0.002 eV/atom. The formation energy is -22 meV/atom. The value obtained for the total magnetic moment is 0.00 μB per formula unit.


A plane-wave DFT calculation with PBE was carried out for an optimized crystal structure of ZrU2Se4.

The structure belongs to space group Cmcm (No. 63); the cell edges are 3.758, 13.546 and 13.773 Å and the angles 90.00°, 90.00° and 90.00°. Symmetry generates all atoms from Zr at (0.000, 0.129, 0.250), U at (0.000, 0.361, 0.073), Se at (0.000, 0.000, 0.000), Se at (0.000, 0.289, 0.627) and Se at (0.000, 0.477, 0.250).

The value obtained for the total magnetic moment is 6.05 μB per formula unit. Its total DFT energy (no corrections) is -7.443 eV/atom.


A plane-wave DFT calculation with PBE was carried out for an optimized crystal structure of Fe2Co8Rh.

The structure belongs to space group C2/m (No. 12); the cell edges are 16.521, 2.551 and 6.198 Å and the angles 90.00°, 104.85° and 90.00°. Symmetry generates all atoms from Fe at (0.225, 0.000, 0.310), Co at (0.048, 0.000, 0.874), Co at (0.090, 0.500, 0.222), Co at (0.140, 0.000, 0.592), Co at (0.181, 0.500, 0.948) and Rh at (0.000, 0.500, 0.500).

The formation energy is 40 meV/atom. The value obtained for the total magnetic moment is 19.29 μB per formula unit.


A plane-wave DFT calculation with PBE was carried out for an optimized crystal structure of HfSnPd2W.

The structure belongs to space group P4/mmm (No. 123); the cell edges are 4.743, 4.743 and 5.260 Å and the angles 90.00°, 90.00° and 90.00°. Symmetry generates all atoms from Hf at (0.000, 0.000, 0.000), Sn at (0.000, 0.000, 0.500), Pd at (0.000, 0.500, 0.500) and W at (0.500, 0.500, 0.000).

The formation energy is 1455 meV/atom. The value obtained for the total magnetic moment is 1.25 μB per formula unit.


A plane-wave DFT calculation with PBE was carried out for an optimized crystal structure of ZrTi5Co4.

The structure belongs to space group P4/mmm (No. 123); the cell edges are 3.020, 3.020 and 15.809 Å and the angles 90.00°, 90.00° and 90.00°. Symmetry generates all atoms from Zr at (0.000, 0.000, 0.000), Ti at (0.500, 0.500, 0.134), Ti at (0.500, 0.500, 0.317), Ti at (0.500, 0.500, 0.500), Co at (0.000, 0.000, 0.227) and Co at (0.000, 0.000, 0.409).

The formation energy is -298 meV/atom. The value obtained for the total magnetic moment is 0.00 μB per formula unit.


A plane-wave DFT calculation with PBE was carried out for an optimized crystal structure of Si3BiP.

The structure belongs to space group Pm-3m (No. 221); the cell edges are 4.693, 4.693 and 4.693 Å and the angles 90.00°, 90.00° and 90.00°. Symmetry generates all atoms from Si at (0.000, 0.000, 0.500), Bi at (0.500, 0.500, 0.500) and P at (0.000, 0.000, 0.000).

The calculation puts the distance to the lowest polymorph of the same formula at 0.000 eV/atom. The value obtained for the total magnetic moment is 0.00 μB per formula unit.


A plane-wave DFT calculation with PBE was carried out for an optimized crystal structure of LaCe2TmAs4.

The structure belongs to space group P2/m (No. 10); the cell edges are 7.307, 4.223 and 7.315 Å and the angles 90.00°, 109.46° and 90.00°. Symmetry generates all atoms from La at (0.000, 0.000, 0.000), Ce at (0.500, 0.000, 0.500), Ce at (0.500, 0.500, 0.000), Tm at (0.000, 0.500, 0.500), As at (0.248, 0.000, 0.741) and As at (0.254, 0.500, 0.260).

The formation energy is -1464 meV/atom. The value obtained for the total magnetic moment is 1.30 μB per formula unit.